Material: ZrNbAu2
Method: DFT, GGA-PBE
State: relaxed

a = 7.6819 Å, b = 7.6819 Å, c = 6.0934 Å
α = 50.92°, β = 50.92°, γ = 90.00°
With the nearest neighbours (Å) after each atom.
Positions (direct):
Nb (0.0000, 0.0000, 0.0000)  4 Au 2.74, 2 Zr 2.76
Nb (0.7500, 0.2500, 0.5000)  4 Au 2.74, 2 Zr 2.76
Au (0.6378, 0.1250, 0.2500)  2 Nb 2.74, 2 Au 2.77, 2 Zr 2.87
Au (0.1122, 0.6250, 0.2500)  2 Nb 2.74, 2 Au 2.77, 2 Zr 2.87
Au (0.3750, 0.3622, 0.7500)  2 Nb 2.74, 2 Au 2.77, 2 Zr 2.87
Au (0.8750, 0.8878, 0.7500)  2 Nb 2.74, 2 Au 2.77, 2 Zr 2.87
Zr (0.5000, 0.5000, 0.0000)  2 Nb 2.76, 4 Au 2.87
Zr (0.2500, 0.7500, 0.5000)  2 Nb 2.76, 4 Au 2.87

- Energy of formation from the pure elements: 2.725 kcal/mol of atoms
- Excess energy over the best structure of this formula in the dataset: 316.4 meV/atom
- E: -6.175 eV/atom
- DOS(E_F): 0.9791 states/eV/atom